Record 1
# SrTaSb PBE optimized geometry
data_SrTaSb
_cell_length_a 4.787
_cell_length_b 4.787
_cell_length_c 4.551
_cell_angle_alpha 90.00
_cell_angle_beta 90.00
_cell_angle_gamma 120.00
_space_group_name_H-M_alt 'P 1'
_space_group_IT_number 1
loop_
_space_group_symop_operation_xyz
'x,y,z'
loop_
_atom_site_label
_atom_site_type_symbol
_atom_site_fract_x
_atom_site_fract_y
_atom_site_fract_z
Sr1 Sr 0.000 0.000 0.000
Ta1 Ta 0.333 0.667 0.500
Sb1 Sb 0.667 0.333 0.500
# Density of states at the Fermi level in states/eV per atom: 1.139
# E_tot in eV/atom: -5.582
# Mass density in g/cm³: 7.18
# Space-group type: No. 187


Record 2
# Hf2TlZn PBE optimized geometry
data_Hf2TlZn
_cell_length_a 9.531
_cell_length_b 9.531
_cell_length_c 9.531
_cell_angle_alpha 19.60
_cell_angle_beta 19.60
_cell_angle_gamma 19.60
_space_group_name_H-M_alt 'P 1'
_space_group_IT_number 1
loop_
_space_group_symop_operation_xyz
'x,y,z'
loop_
_atom_site_label
_atom_site_type_symbol
_atom_site_fract_x
_atom_site_fract_y
_atom_site_fract_z
Hf1 Hf 0.242 0.242 0.242
Hf2 Hf 0.758 0.758 0.758
Tl1 Tl 0.000 0.000 0.000
Zn1 Zn 0.500 0.500 0.500
# Density of states at the Fermi level in states/eV per atom: 0.453
# DFT formation energy in eV per atom: 0.055
# E_tot in eV/atom: -5.832
# Mass density in g/cm³: 12.22
# Space-group type: No. 166


Record 3
# BiP2PdCl PBE optimized geometry
data_BiP2PdCl
_cell_length_a 4.756
_cell_length_b 4.756
_cell_length_c 4.827
_cell_angle_alpha 90.00
_cell_angle_beta 90.00
_cell_angle_gamma 90.00
_space_group_name_H-M_alt 'P 1'
_space_group_IT_number 1
loop_
_space_group_symop_operation_xyz
'x,y,z'
loop_
_atom_site_label
_atom_site_type_symbol
_atom_site_fract_x
_atom_site_fract_y
_atom_site_fract_z
Bi1 Bi 0.000 0.000 0.000
P1 P 0.000 0.500 0.500
P2 P 0.500 0.000 0.500
Pd1 Pd 0.500 0.500 0.500
Cl1 Cl 0.500 0.500 0.000
# Density of states at the Fermi level in states/eV per atom: 0.862
# E_tot in eV/atom: -3.985
# Mass density in g/cm³: 6.28
# Space-group type: No. 123


Record 4
# Pm3NdZn2 PBE optimized geometry
data_Pm3NdZn2
_cell_length_a 3.666
_cell_length_b 3.666
_cell_length_c 12.481
_cell_angle_alpha 90.00
_cell_angle_beta 90.00
_cell_angle_gamma 90.00
_space_group_name_H-M_alt 'P 1'
_space_group_IT_number 1
loop_
_space_group_symop_operation_xyz
'x,y,z'
loop_
_atom_site_label
_atom_site_type_symbol
_atom_site_fract_x
_atom_site_fract_y
_atom_site_fract_z
Pm1 Pm 0.000 0.000 0.000
Pm2 Pm 0.000 0.000 0.289
Pm3 Pm 0.000 0.000 0.711
Nd1 Nd 0.500 0.500 0.500
Zn1 Zn 0.500 0.500 0.145
Zn2 Zn 0.500 0.500 0.855
# Density of states at the Fermi level in states/eV per atom: 0.967
# DFT formation energy in eV per atom: -0.214
# E_tot in eV/atom: -3.809
# Mass density in g/cm³: 7.03
# Space-group type: No. 123


Record 5
# TcPd2Pb PBE optimized geometry
data_TcPd2Pb
_cell_length_a 9.997
_cell_length_b 9.997
_cell_length_c 9.997
_cell_angle_alpha 157.01
_cell_angle_beta 157.01
_cell_angle_gamma 32.74
_space_group_name_H-M_alt 'P 1'
_space_group_IT_number 1
loop_
_space_group_symop_operation_xyz
'x,y,z'
loop_
_atom_site_label
_atom_site_type_symbol
_atom_site_fract_x
_atom_site_fract_y
_atom_site_fract_z
Tc1 Tc 0.000 0.000 0.000
Tc2 Tc 0.750 0.250 0.500
Pd1 Pd 0.115 0.625 0.990
Pd2 Pd 0.375 0.365 0.490
Pd3 Pd 0.635 0.125 0.010
Pd4 Pd 0.875 0.885 0.510
Pb1 Pb 0.250 0.750 0.500
Pb2 Pb 0.500 0.500 0.000
# Density of states at the Fermi level in states/eV per atom: 0.652
# DFT formation energy in eV per atom: 0.492
# E_tot in eV/atom: -5.623
# Mass density in g/cm³: 11.30
# Space-group type: No. 122


Record 6
# La2TmP3 PBE optimized geometry
data_La2TmP3
_cell_length_a 9.317
_cell_length_b 9.317
_cell_length_c 9.317
_cell_angle_alpha 154.04
_cell_angle_beta 154.04
_cell_angle_gamma 37.04
_space_group_name_H-M_alt 'P 1'
_space_group_IT_number 1
loop_
_space_group_symop_operation_xyz
'x,y,z'
loop_
_atom_site_label
_atom_site_type_symbol
_atom_site_fract_x
_atom_site_fract_y
_atom_site_fract_z
La1 La 0.165 0.165 0.000
La2 La 0.835 0.835 0.000
Tm1 Tm 0.500 0.500 0.000
P1 P 0.000 0.000 0.000
P2 P 0.339 0.339 0.000
P3 P 0.661 0.661 0.000
# Density of states at the Fermi level in states/eV per atom: 0.139
# DFT formation energy in eV per atom: -1.535
# E_tot in eV/atom: -6.628
# Mass density in g/cm³: 5.79
# Space-group type: No. 139